(1)
# KGa2SbS6 GGA-PBE optimized geometry
data_KGa2SbS6
_chemical_formula_sum 'K4 Ga8 Sb4 S24'
_cell_length_a 13.008
_cell_length_b 14.119
_cell_length_c 7.030
_cell_angle_alpha 90.00
_cell_angle_beta 116.45
_cell_angle_gamma 90.00
_space_group_name_H-M_alt 'C 1 2/c 1'
_space_group_IT_number 15
loop_
_space_group_symop_operation_xyz
'x,y,z'
'-x,-y,-z'
'-x,y,-z+1/2'
'x,-y,z+1/2'
'x+1/2,y+1/2,z'
'-x+1/2,-y+1/2,-z'
'-x+1/2,y+1/2,-z+1/2'
'x+1/2,-y+1/2,z+1/2'
loop_
_atom_site_label
_atom_site_fract_x
_atom_site_fract_y
_atom_site_fract_z
_atom_site_occupancy
K1 0.000 0.126 0.250 1
Ga1 0.243 0.073 0.869 1
Sb1 0.000 0.289 0.750 1
S1 0.073 0.385 0.063 1
S2 0.151 0.217 0.698 1
S3 0.178 0.042 0.112 1
# - crystal system = monoclinic
# - size of the total moment (μB per cell) = 0.000
# - E_form (uncorrected) (eV/f.u.) = -5.42



(2)
# Re2O7F2 GGA-PBE optimized geometry
data_Re2O7F2
_chemical_formula_sum 'Re4 O14 F4'
_cell_length_a 9.535
_cell_length_b 9.963
_cell_length_c 4.670
_cell_angle_alpha 90.00
_cell_angle_beta 110.73
_cell_angle_gamma 90.00
_space_group_name_H-M_alt 'C 1 2/m 1'
_space_group_IT_number 12
loop_
_space_group_symop_operation_xyz
'x,y,z'
'-x,-y,-z'
'-x,y,-z'
'x,-y,z'
'x+1/2,y+1/2,z'
'-x+1/2,-y+1/2,-z'
'-x+1/2,y+1/2,-z'
'x+1/2,-y+1/2,z'
loop_
_atom_site_label
_atom_site_fract_x
_atom_site_fract_y
_atom_site_fract_z
_atom_site_occupancy
Re1 0.200 0.000 0.018 1
O1 0.000 0.000 0.000 1
O2 0.195 0.000 0.645 1
O3 0.201 0.358 0.808 1
F1 0.000 0.356 0.500 1
# - crystal system = monoclinic
# - size of the total moment (μB per cell) = 0.232
# - excess energy over the best structure of this formula in the dataset (meV/atom) = 214.3
# - E_form (uncorrected) (eV/f.u.) = -11.91



(3)
# LaYMg2Co GGA-PBE optimized geometry
data_LaYMg2Co
_chemical_formula_sum 'La1 Y1 Mg2 Co1'
_cell_length_a 5.135
_cell_length_b 5.135
_cell_length_c 4.928
_cell_angle_alpha 90.00
_cell_angle_beta 90.00
_cell_angle_gamma 90.00
_space_group_name_H-M_alt 'P 4/m m m'
_space_group_IT_number 123
_space_group_name_Hall '-P 4 2'
loop_
_atom_site_label
_atom_site_fract_x
_atom_site_fract_y
_atom_site_fract_z
_atom_site_occupancy
La1 0.000 0.000 0.000 1
Y1 0.500 0.500 0.000 1
Mg1 0.000 0.500 0.500 1
Co1 0.000 0.000 0.500 1
# - E_form (meV/atom) = 41
# - crystal system = tetragonal
# - size of the total moment (μB per cell) = 0.000
# - excess energy over the best structure of this formula in the dataset (meV/atom) = 50.3



(4)
# TaWSe2 GGA-PBE optimized geometry
data_TaWSe2
_chemical_formula_sum 'Ta1 W1 Se2'
_cell_length_a 3.096
_cell_length_b 3.096
_cell_length_c 8.563
_cell_angle_alpha 90.00
_cell_angle_beta 90.00
_cell_angle_gamma 90.00
_space_group_name_H-M_alt 'P 4 m m'
_space_group_IT_number 99
loop_
_space_group_symop_operation_xyz
'x,y,z'
'-y,x,z'
'-x,-y,z'
'y,-x,z'
'-x,y,z'
'y,x,z'
'x,-y,z'
'-y,-x,z'
loop_
_atom_site_label
_atom_site_fract_x
_atom_site_fract_y
_atom_site_fract_z
_atom_site_occupancy
Ta1 0.000 0.000 0.000 1
W1 0.500 0.500 0.252 1
Se1 0.000 0.000 0.416 1
Se2 0.500 0.500 0.823 1
# - crystal system = tetragonal
# - size of the total moment (μB per cell) = 0.001
# - excess energy over the best structure of this formula in the dataset (meV/atom) = 155.7
# - E_form (uncorrected) (eV/f.u.) = -0.69